DFT (PBE) results for a relaxed BaAg2BiSb crystal.

Geometry as CIF:
```
data_BaAg2BiSb
_symmetry_space_group_name_H-M 'P 1'
_symmetry_Int_Tables_number 1
_symmetry_space_group_name_Hall 'P 1'
_cell_length_a 4.9320
_cell_length_b 4.9320
_cell_length_c 11.7150
_cell_angle_alpha 90.00
_cell_angle_beta 90.00
_cell_angle_gamma 90.00
loop_
_atom_site_label
_atom_site_type_symbol
_atom_site_fract_x
_atom_site_fract_y
_atom_site_fract_z
Ba1 Ba 0.2500 0.2500 0.2491
Ba2 Ba 0.7500 0.7500 0.7509
Ag1 Ag 0.2500 0.2500 0.6236
Ag2 Ag 0.2500 0.7500 0.0000
Ag3 Ag 0.7500 0.2500 0.0000
Ag4 Ag 0.7500 0.7500 0.3764
Bi1 Bi 0.2500 0.2500 0.8656
Bi2 Bi 0.7500 0.7500 0.1344
Sb1 Sb 0.2500 0.7500 0.5000
Sb2 Sb 0.7500 0.2500 0.5000
```

Its total energy is -0.263 Ry per atom. As for the density: 7.969 g/cm3. Its space group is No. 129.

---

DFT (PBE) results for a relaxed Li2SnPd2Pb crystal.

Geometry as CIF:
```
data_Li2SnPd2Pb
_symmetry_space_group_name_H-M 'P 1'
_symmetry_Int_Tables_number 1
_symmetry_space_group_name_Hall 'P 1'
_cell_length_a 4.7097
_cell_length_b 4.7097
_cell_length_c 5.7577
_cell_angle_alpha 90.00
_cell_angle_beta 90.00
_cell_angle_gamma 120.00
loop_
_atom_site_label
_atom_site_type_symbol
_atom_site_fract_x
_atom_site_fract_y
_atom_site_fract_z
Li1 Li 0.0000 0.0000 0.2493
Li2 Li 0.0000 0.0000 0.7507
Sn1 Sn 0.6667 0.3333 0.0000
Pd1 Pd 0.3333 0.6667 0.0000
Pd2 Pd 0.6667 0.3333 0.5000
Pb1 Pb 0.3333 0.6667 0.5000
```

Its total energy is -0.304 Ry per atom. As for the density: 8.297 g/cm3. Its space group is No. 187.